{
  "formula": "MgI",
  "functional": "GGA-PBE",
  "state": "relaxed",
  "lattice": [[-1.174, 7.025, -1.470], [-6.794, -1.568, -2.068], [-2.315, 1.040, 6.816]],
  "species": ["I", "Mg", "I", "I", "I", "Mg", "Mg", "Mg"],
  "fractional_positions": [[0.000, 0.500, 0.500], [0.250, 0.250, 0.250], [0.500, 0.000, 0.500], [0.500, 0.500, 0.000], [0.000, 0.000, 0.000], [0.750, 0.250, 0.750], [0.750, 0.750, 0.250], [0.250, 0.750, 0.750]],
  "total_energy_ev_per_atom": -1.72,
  "raw_formation_energy_ev_per_fu": -0.3,
  "space_group": "F-43m (216)",
  "magmom_total_mub_per_cell": 0.00
}